The following is a GGA+U calculation of an optimized crystal structure of Mn3NiO8, from Alexandria.

POSCAR file:
```
Mn3NiO8
1.0
8.1706 0.0000 0.0000
0.0000 8.1706 0.0000
0.0000 0.0000 8.1706
Mn Ni O
12 4 32
Direct
0.1286 0.1214 0.6250 Mn
0.1250 0.3714 0.8786 Mn
0.1214 0.6250 0.1286 Mn
0.3786 0.3750 0.6286 Mn
0.3750 0.6286 0.3786 Mn
0.3714 0.8786 0.1250 Mn
0.6286 0.3786 0.3750 Mn
0.6250 0.1286 0.1214 Mn
0.6214 0.8750 0.8714 Mn
0.8786 0.1250 0.3714 Mn
0.8750 0.8714 0.6214 Mn
0.8714 0.6214 0.8750 Mn
0.1250 0.8750 0.3750 Ni
0.3750 0.1250 0.8750 Ni
0.6250 0.6250 0.6250 Ni
0.8750 0.3750 0.1250 Ni
0.1147 0.1066 0.3881 O
0.1119 0.8853 0.6066 O
0.1087 0.6087 0.8913 O
0.1066 0.3881 0.1147 O
0.1434 0.1353 0.8619 O
0.1413 0.3587 0.6413 O
0.1381 0.6434 0.3647 O
0.1353 0.8619 0.1434 O
0.3647 0.1381 0.6434 O
0.3619 0.3566 0.8647 O
0.3587 0.6413 0.1413 O
0.3566 0.8647 0.3619 O
0.3934 0.6119 0.6147 O
0.3913 0.3913 0.3913 O
0.3881 0.1147 0.1066 O
0.3853 0.8934 0.8881 O
0.6147 0.3934 0.6119 O
0.6119 0.6147 0.3934 O
0.6087 0.8913 0.1087 O
0.6066 0.1119 0.8853 O
0.6434 0.3647 0.1381 O
0.6413 0.1413 0.3587 O
0.6381 0.8566 0.6353 O
0.6353 0.6381 0.8566 O
0.8647 0.3619 0.3566 O
0.8619 0.1434 0.1353 O
0.8587 0.8587 0.8587 O
0.8566 0.6353 0.6381 O
0.8934 0.8881 0.3853 O
0.8913 0.1087 0.6087 O
0.8881 0.3853 0.8934 O
0.8853 0.6066 0.1119 O
```

Summary:
magnetization	36.0	μB per cell
symmetry	No. 212
relative energy among the computed polymorphs	12	meV per atom
crystal system	cubic